# Mn2SiI | Alexandria | meta-GGA SCAN | PBEsol geometry
# M_tot: 0.00 μB per cell
# E_tot: -320.15 eV/cell
# Formation energy from raw total energies: 807 meV/atom
data_Mn2SiI
_chemical_formula_sum 'Mn8 Si4 I4'
_cell_length_a 5.970
_cell_length_b 5.970
_cell_length_c 5.970
_cell_angle_alpha 90.00
_cell_angle_beta 90.00
_cell_angle_gamma 90.00
_symmetry_space_group_name_H-M 'F m -3 m'
_symmetry_Int_Tables_number 225
_symmetry_space_group_name_Hall '-F 4 2 3'
loop_
_atom_site_label
_atom_site_fract_x
_atom_site_fract_y
_atom_site_fract_z
_atom_site_occupancy
Mn1 0.250 0.250 0.250 1
Si1 0.000 0.000 0.000 1
I1 0.000 0.000 0.500 1

=====

# LaNi4Au | Alexandria | meta-GGA SCAN | PBEsol geometry
# ΔH_f (0 K): -1.39 eV/f.u.
# M_tot: 0.02 μB per cell
# E_tot: -713.39 eV/cell
data_LaNi4Au
_chemical_formula_sum 'La4 Ni16 Au4'
_cell_length_a 7.009
_cell_length_b 7.009
_cell_length_c 7.009
_cell_angle_alpha 90.00
_cell_angle_beta 90.00
_cell_angle_gamma 90.00
_symmetry_space_group_name_H-M 'F -4 3 m'
_symmetry_Int_Tables_number 216
_symmetry_space_group_name_Hall 'F -4 2 3'
loop_
_atom_site_label
_atom_site_fract_x
_atom_site_fract_y
_atom_site_fract_z
_atom_site_occupancy
La1 0.000 0.000 0.000 1
Ni1 0.124 0.124 0.376 1
Au1 0.250 0.250 0.750 1

=====

# Cu2Os2C | Alexandria | meta-GGA SCAN | PBEsol geometry
# ΔH_f (0 K): 7.72 eV/f.u.
# M_tot: 0.00 μB per cell
# E_tot: -353.07 eV/cell
data_Cu2Os2C
_chemical_formula_sum 'Cu4 Os4 C2'
_cell_length_a 2.973
_cell_length_b 2.973
_cell_length_c 13.544
_cell_angle_alpha 90.00
_cell_angle_beta 90.00
_cell_angle_gamma 90.00
_symmetry_space_group_name_H-M 'I 4/m m m'
_symmetry_Int_Tables_number 139
_symmetry_space_group_name_Hall '-I 4 2'
loop_
_atom_site_label
_atom_site_fract_x
_atom_site_fract_y
_atom_site_fract_z
_atom_site_occupancy
Cu1 0.000 0.500 0.250 1
Os1 0.000 0.000 0.089 1
C1 0.000 0.000 0.500 1

=====

# Mn2IrRh | Alexandria | meta-GGA SCAN | PBEsol geometry
# ΔH_f (0 K): -1.06 eV/f.u.
# M_tot: 6.04 μB per cell
# E_tot: -142.44 eV/cell
data_Mn2IrRh
_chemical_formula_sum 'Mn2 Ir1 Rh1'
_cell_length_a 2.612
_cell_length_b 2.612
_cell_length_c 7.203
_cell_angle_alpha 90.00
_cell_angle_beta 90.00
_cell_angle_gamma 90.00
_symmetry_space_group_name_H-M 'P 4/m m m'
_symmetry_Int_Tables_number 123
_symmetry_space_group_name_Hall '-P 4 2'
loop_
_atom_site_label
_atom_site_fract_x
_atom_site_fract_y
_atom_site_fract_z
_atom_site_occupancy
Mn1 0.000 0.000 0.250 1
Ir1 0.500 0.500 0.000 1
Rh1 0.500 0.500 0.500 1

=====

# ScSiPb2 | Alexandria | meta-GGA SCAN | PBEsol geometry
# M_tot: 0.00 μB per cell
# E_tot: -175.66 eV/cell
# Formation energy from raw total energies: 39 meV/atom
data_ScSiPb2
_chemical_formula_sum 'Sc1 Si1 Pb2'
_cell_length_a 3.853
_cell_length_b 3.853
_cell_length_c 6.150
_cell_angle_alpha 90.00
_cell_angle_beta 90.00
_cell_angle_gamma 90.00
_symmetry_space_group_name_H-M 'P 4/m m m'
_symmetry_Int_Tables_number 123
_symmetry_space_group_name_Hall '-P 4 2'
loop_
_atom_site_label
_atom_site_fract_x
_atom_site_fract_y
_atom_site_fract_z
_atom_site_occupancy
Sc1 0.000 0.000 0.000 1
Si1 0.000 0.000 0.500 1
Pb1 0.500 0.500 0.256 1

=====

# BaCd11 | Alexandria | meta-GGA SCAN | PBEsol geometry
# ΔH_f (0 K): -2.56 eV/f.u.
# M_tot: 0.00 μB per cell
# E_tot: -1506.68 eV/cell
data_BaCd11
_chemical_formula_sum 'Ba4 Cd44'
_cell_length_a 11.890
_cell_length_b 11.890
_cell_length_c 7.659
_cell_angle_alpha 90.00
_cell_angle_beta 90.00
_cell_angle_gamma 90.00
_symmetry_space_group_name_H-M 'I 41/a m d'
_symmetry_Int_Tables_number 141
loop_
_symmetry_equiv_pos_as_xyz
'x,y,z'
'-x,-y,-z'
'-y+1/4,x+3/4,z+1/4'
'y+1/4,-x+3/4,-z+1/4'
'-x+1/2,-y,z+1/2'
'x+1/2,y,-z+1/2'
'y+1/4,-x+1/4,z+3/4'
'-y+1/4,x+1/4,-z+3/4'
'x,-y,-z'
'-x,y,z'
'-y+1/4,-x+1/4,-z+3/4'
'y+1/4,x+1/4,z+3/4'
'-x+1/2,y,-z+1/2'
'x+1/2,-y,z+1/2'
'y+1/4,x+3/4,-z+1/4'
'-y+1/4,-x+3/4,z+1/4'
'x+1/2,y+1/2,z+1/2'
'-x+1/2,-y+1/2,-z+1/2'
'-y+3/4,x+1/4,z+3/4'
'y+3/4,-x+1/4,-z+3/4'
'-x,-y+1/2,z'
'x,y+1/2,-z'
'y+3/4,-x+3/4,z+1/4'
'-y+3/4,x+3/4,-z+1/4'
'x+1/2,-y+1/2,-z+1/2'
'-x+1/2,y+1/2,z+1/2'
'-y+3/4,-x+3/4,-z+1/4'
'y+3/4,x+3/4,z+1/4'
'-x,y+1/2,-z'
'x,-y+1/2,z'
'y+3/4,x+1/4,-z+3/4'
'-y+3/4,-x+1/4,z+3/4'
loop_
_atom_site_label
_atom_site_fract_x
_atom_site_fract_y
_atom_site_fract_z
_atom_site_occupancy
Ba1 0.000 0.250 0.375 1
Cd1 0.000 0.000 0.000 1
Cd2 0.000 0.250 0.875 1
Cd3 0.121 0.045 0.676 1

=====

# CoTe2Ir | Alexandria | meta-GGA SCAN | PBEsol geometry
# M_tot: 2.57 μB per cell
# Excess energy over the best structure of this formula in the dataset: 0 meV per atom
# E_tot: -320.95 eV/cell
# Formation energy from raw total energies: 607 meV/atom
data_CoTe2Ir
_chemical_formula_sum 'Co2 Te4 Ir2'
_cell_length_a 3.014
_cell_length_b 4.728
_cell_length_c 9.920
_cell_angle_alpha 90.00
_cell_angle_beta 90.00
_cell_angle_gamma 90.00
_symmetry_space_group_name_H-M 'I m m 2'
_symmetry_Int_Tables_number 44
loop_
_symmetry_equiv_pos_as_xyz
'x,y,z'
'-x,-y,z'
'-x,y,z'
'x,-y,z'
'x+1/2,y+1/2,z+1/2'
'-x+1/2,-y+1/2,z+1/2'
'-x+1/2,y+1/2,z+1/2'
'x+1/2,-y+1/2,z+1/2'
loop_
_atom_site_label
_atom_site_fract_x
_atom_site_fract_y
_atom_site_fract_z
_atom_site_occupancy
Co1 0.000 0.000 0.000 1
Te1 0.000 0.000 0.479 1
Te2 0.000 0.500 0.275 1
Ir1 0.000 0.500 0.727 1

=====

# YSb2TeC | Alexandria | meta-GGA SCAN | PBEsol geometry
# M_tot: 2.04 μB per cell
# E_tot: -141.74 eV/cell
# Formation energy from raw total energies: 1595 meV/atom
data_YSb2TeC
_chemical_formula_sum 'Y1 Sb2 Te1 C1'
_cell_length_a 5.718
_cell_length_b 5.718
_cell_length_c 5.624
_cell_angle_alpha 90.00
_cell_angle_beta 90.00
_cell_angle_gamma 90.00
_symmetry_space_group_name_H-M 'P 4/m m m'
_symmetry_Int_Tables_number 123
_symmetry_space_group_name_Hall '-P 4 2'
loop_
_atom_site_label
_atom_site_fract_x
_atom_site_fract_y
_atom_site_fract_z
_atom_site_occupancy
Y1 0.000 0.000 0.000 1
Sb1 0.000 0.500 0.000 1
Te1 0.000 0.000 0.500 1
C1 0.500 0.500 0.500 1

=====

# MgReTe4 | Alexandria | meta-GGA SCAN | PBEsol geometry
# M_tot: 16.91 μB per cell
# E_tot: -869.18 eV/cell
# Formation energy from raw total energies: 1297 meV/atom
data_MgReTe4
_chemical_formula_sum 'Mg4 Re4 Te16'
_cell_length_a 8.743
_cell_length_b 8.743
_cell_length_c 8.743
_cell_angle_alpha 90.00
_cell_angle_beta 90.00
_cell_angle_gamma 90.00
_symmetry_space_group_name_H-M 'F -4 3 m'
_symmetry_Int_Tables_number 216
_symmetry_space_group_name_Hall 'F -4 2 3'
loop_
_atom_site_label
_atom_site_fract_x
_atom_site_fract_y
_atom_site_fract_z
_atom_site_occupancy
Mg1 0.000 0.000 0.000 1
Re1 0.250 0.250 0.250 1
Te1 0.124 0.124 0.624 1

=====

# AsIrAu2 | Alexandria | meta-GGA SCAN | PBEsol geometry
# ΔH_f (0 K): 1.82 eV/f.u.
# M_tot: 0.00 μB per cell
# E_tot: -227.78 eV/cell
data_AsIrAu2
_chemical_formula_sum 'As1 Ir1 Au2'
_cell_length_a 4.881
_cell_length_b 4.881
_cell_length_c 2.773
_cell_angle_alpha 90.00
_cell_angle_beta 90.00
_cell_angle_gamma 90.00
_symmetry_space_group_name_H-M 'P 4/m m m'
_symmetry_Int_Tables_number 123
_symmetry_space_group_name_Hall '-P 4 2'
loop_
_atom_site_label
_atom_site_fract_x
_atom_site_fract_y
_atom_site_fract_z
_atom_site_occupancy
As1 0.000 0.000 0.000 1
Ir1 0.500 0.500 0.000 1
Au1 0.000 0.500 0.500 1

=====

# TlCuCl3 | Alexandria | meta-GGA SCAN | PBEsol geometry
# M_tot: 0.00 μB per cell
# E_tot: -115.62 eV/cell
# Formation energy from raw total energies: -825 meV/atom
data_TlCuCl3
_chemical_formula_sum 'Tl1 Cu1 Cl3'
_cell_length_a 4.743
_cell_length_b 4.743
_cell_length_c 4.743
_cell_angle_alpha 90.00
_cell_angle_beta 90.00
_cell_angle_gamma 90.00
_symmetry_space_group_name_H-M 'P m -3 m'
_symmetry_Int_Tables_number 221
_symmetry_space_group_name_Hall '-P 4 2 3'
loop_
_atom_site_label
_atom_site_fract_x
_atom_site_fract_y
_atom_site_fract_z
_atom_site_occupancy
Tl1 0.000 0.000 0.000 1
Cu1 0.500 0.500 0.500 1
Cl1 0.000 0.500 0.500 1

=====

# LiYTl | Alexandria | meta-GGA SCAN | PBEsol geometry
# ΔH_f (0 K): -0.88 eV/f.u.
# M_tot: 0.57 μB per cell
# Excess energy over the best structure of this formula in the dataset: 186 meV per atom
# E_tot: -206.94 eV/cell
data_LiYTl
_chemical_formula_sum 'Li2 Y2 Tl2'
_cell_length_a 3.547
_cell_length_b 3.547
_cell_length_c 11.154
_cell_angle_alpha 90.00
_cell_angle_beta 90.00
_cell_angle_gamma 90.00
_symmetry_space_group_name_H-M 'I 4 m m'
_symmetry_Int_Tables_number 107
_symmetry_space_group_name_Hall 'I 4 -2'
loop_
_atom_site_label
_atom_site_fract_x
_atom_site_fract_y
_atom_site_fract_z
_atom_site_occupancy
Li1 0.000 0.000 0.000 1
Y1 0.000 0.000 0.306 1
Tl1 0.000 0.000 0.619 1

=====

# MgZrTc2 | Alexandria | meta-GGA SCAN | PBEsol geometry
# ΔH_f (0 K): 0.35 eV/f.u.
# M_tot: 0.00 μB per cell
# E_tot: -210.89 eV/cell
data_MgZrTc2
_chemical_formula_sum 'Mg2 Zr2 Tc4'
_cell_length_a 9.610
_cell_length_b 3.265
_cell_length_c 4.638
_cell_angle_alpha 90.00
_cell_angle_beta 114.74
_cell_angle_gamma 90.00
_symmetry_space_group_name_H-M 'C 1 2/m 1'
_symmetry_Int_Tables_number 12
loop_
_symmetry_equiv_pos_as_xyz
'x,y,z'
'-x,-y,-z'
'-x,y,-z'
'x,-y,z'
'x+1/2,y+1/2,z'
'-x+1/2,-y+1/2,-z'
'-x+1/2,y+1/2,-z'
'x+1/2,-y+1/2,z'
loop_
_atom_site_label
_atom_site_fract_x
_atom_site_fract_y
_atom_site_fract_z
_atom_site_occupancy
Mg1 0.000 0.000 0.000 1
Zr1 0.000 0.500 0.500 1
Tc1 0.243 0.000 0.769 1